Computed, not measured: a geometry-optimized NpAlCrO6 structure at the GGA+U level of DFT.

The structure belongs to space group P4_2nm (No. 102); the cell edges are 4.6986, 4.6986 and 9.2137 Å and the angles 90.00°, 90.00° and 90.00°. Symmetry generates all atoms from Np at (0.0000, 0.0000, 0.0000), Al at (0.0000, 0.0000, 0.6652), Cr at (0.0000, 0.0000, 0.3348), O at (0.1842, 0.1842, 0.5067), O at (0.1935, 0.1935, 0.8234) and O at (0.2029, 0.2029, 0.1697).

The magnetic moment is 8.00 μB/cell. For the final energy, the calculation gives -8.56 eV/atom. The density of states at the Fermi level comes out at 1.1 states/eV per cell.